<A>
Density functional theory data (PBE-GGA) for a relaxed TaCr3In crystal.

Properties
* mass density: 6.7 g/cm³
* N(E_F): 9.99 states/eV/f.u.

Unit cell a=4.8275 b=4.8275 c=4.8275 alpha=90.00 beta=90.00 gamma=90.00
Site moments in Bohr magnetons follow the coordinates.
Positions (direct):
In: 0.0000 0.0000 0.0000  -0.02
Ta: 0.5000 0.5000 0.5000  -1.46
Cr: 0.0000 0.0000 0.5000  3.48
Cr: 0.5000 0.0000 0.0000  2.93
Cr: 0.0000 0.5000 0.0000  3.42

=====

<B>
Density functional theory data (PBE-GGA) for a relaxed TaCr3In crystal.

Properties
* mass density: 7.1 g/cm³
* N(E_F): 3.43 states/eV/f.u.

Unit cell a=4.7368 b=4.7368 c=4.7368 alpha=90.00 beta=90.00 gamma=90.00
Site moments in Bohr magnetons follow the coordinates.
Positions (direct):
Cr: 0.5000 0.0000 0.0000  3.10
Ta: 0.0000 0.0000 0.0000  -0.64
In: 0.5000 0.5000 0.5000  -0.10
Cr: 0.0000 0.0000 0.5000  2.47
Cr: 0.0000 0.5000 0.0000  2.68

=====

Stability ranking, top and bottom: <B> is the most stable and <A> is the least stable.

=====

<A>
Density functional theory data (PBE-GGA) for a relaxed TaCrIn3 crystal.

Properties
* mass density: 7.8 g/cm³
* N(E_F): 4.33 states/eV/f.u.

Unit cell a=4.9635 b=4.9635 c=4.9635 alpha=90.00 beta=90.00 gamma=90.00
Site moments in Bohr magnetons follow the coordinates.
Positions (direct):
Cr: 0.0000 0.0000 0.0000  1.91
In: 0.5000 0.0000 0.0000  -0.05
In: 0.0000 0.0000 0.5000  -0.01
Ta: 0.5000 0.5000 0.5000  1.24
In: 0.0000 0.5000 0.0000  -0.04

=====

<B>
Density functional theory data (PBE-GGA) for a relaxed TaCrIn3 crystal.

Properties
* mass density: 6.3 g/cm³
* N(E_F): 4.16 states/eV/f.u.

Unit cell a=5.3389 b=5.3389 c=5.3389 alpha=90.00 beta=90.00 gamma=90.00
Site moments in Bohr magnetons follow the coordinates.
Positions (direct):
Cr: 0.5000 0.5000 0.5000  -0.42
In: 0.0000 0.5000 0.0000  0.05
In: 0.0000 0.0000 0.5000  0.04
Ta: 0.0000 0.0000 0.0000  0.22
In: 0.5000 0.0000 0.0000  0.01

=====

Stability ranking, top and bottom: <A> is the most stable and <B> is the least stable.

=====

<A>
Density functional theory data (PBE-GGA) for a relaxed Cr3InTc crystal.

Properties
* mass density: 6.4 g/cm³
* N(E_F): 10.23 states/eV/f.u.

Unit cell a=4.5805 b=4.5805 c=4.5805 alpha=90.00 beta=90.00 gamma=90.00
Site moments in Bohr magnetons follow the coordinates.
Positions (direct):
In: 0.0000 0.0000 0.0000  -0.03
Cr: 0.5000 0.0000 0.0000  0.42
Tc: 0.5000 0.5000 0.5000  1.30
Cr: 0.0000 0.5000 0.0000  0.42
Cr: 0.0000 0.0000 0.5000  0.25

=====

<B>
Density functional theory data (PBE-GGA) for a relaxed Cr3InTc crystal.

Properties
* mass density: 6.0 g/cm³
* N(E_F): 4.76 states/eV/f.u.

Unit cell a=4.6619 b=4.6619 c=4.6619 alpha=90.00 beta=90.00 gamma=90.00
Site moments in Bohr magnetons follow the coordinates.
Positions (direct):
In: 0.5000 0.5000 0.5000  -0.10
Tc: 0.0000 0.0000 0.0000  -0.79
Cr: 0.0000 0.0000 0.5000  2.51
Cr: 0.5000 0.0000 0.0000  3.14
Cr: 0.0000 0.5000 0.0000  2.79

=====

Stability ranking, top and bottom: <B> is the most stable and <A> is the least stable.